# Sr3Ru4

A relaxed structure of Sr3Ru4 (PBE, Alexandria).

Calculated values
- Energy of formation from the pure elements: 1.2845 eV per atom
- Calculated total energy: -4.737 eV per atom
- Space group: P6/mmm, No. 191
- Crystal system: hexagonal

a = 6.4768 Å, b = 6.4768 Å, c = 4.6803 Å
α = 90.00°, β = 90.00°, γ = 120.00°
With the nearest neighbours (Å) after each atom.
Fractional positions:
Sr1 0.5000 0.0000 0.0000  4 Ru 3.00, 4 Sr 3.24
Sr2 0.0000 0.5000 0.0000  4 Ru 3.00, 4 Sr 3.24
Sr3 0.5000 0.5000 0.0000  4 Ru 3.00, 4 Sr 3.24
Ru1 0.3333 0.6667 0.5000  6 Sr 3.00
Ru2 0.0000 0.0000 0.7537  2 Ru 2.31-2.38
Ru3 0.6667 0.3333 0.5000  6 Sr 3.00
Ru4 0.0000 0.0000 0.2463  2 Ru 2.31-2.38

=====

# Nd2CdAg4

A relaxed structure of Nd2CdAg4 (PBE, Alexandria).

Calculated values
- Energy of formation from the pure elements: -0.2219 eV per atom
- Calculated total energy: -3.344 eV per atom
- Space group: C2/m, No. 12
- Crystal system: monoclinic

a = 5.2297 Å, b = 5.2297 Å, c = 8.3930 Å
α = 61.30°, β = 61.30°, γ = 60.28°
With the nearest neighbours (Å) after each atom.
Fractional positions:
Ag1 0.2161 0.2161 0.6014  1 Cd 2.78, 4 Ag 2.80-3.10
Ag2 0.5413 0.5413 0.2450  2 Ag 2.80-3.10, 3 Nd 3.02-3.06
Ag3 0.7839 0.7839 0.3986  1 Cd 2.78, 4 Ag 2.80-3.10
Ag4 0.4587 0.4587 0.7550  2 Ag 2.80-3.10, 3 Nd 3.02-3.06
Nd1 0.2190 0.2190 0.2155  8 Ag 3.02-3.34, 1 Cd 3.34
Nd2 0.7810 0.7810 0.7845  8 Ag 3.02-3.34, 1 Cd 3.34
Cd1 0.0000 0.0000 0.0000  2 Ag 2.78

=====

# InS2Br

A relaxed structure of InS2Br (PBE, Alexandria).

Calculated values
- E_form (uncorrected): -108 kJ/mol of formula units
- ΔE to the lowest computed polymorph: 0.000 eV per atom
- Calculated total energy: -3.447 eV per atom
- Space group: R-3m, No. 166
- Crystal system: trigonal

a = 7.9646 Å, b = 7.9646 Å, c = 7.9646 Å
α = 28.98°, β = 28.98°, γ = 28.98°
With the nearest neighbours (Å) after each atom.
Fractional positions:
S1 0.1079 0.1079 0.1079  1 Br 2.47, 3 In 2.67
S2 0.8921 0.8921 0.8921  1 Br 2.47, 3 In 2.67
In1 0.5000 0.5000 0.5000  6 S 2.67
Br1 0.0000 0.0000 0.0000  2 S 2.47

=====

# Hf3PdSe

A relaxed structure of Hf3PdSe (PBE, Alexandria).

Calculated values
- E_form (uncorrected): 75 kJ/mol of formula units
- ΔE to the lowest computed polymorph: 0.000 eV per atom
- Calculated total energy: -7.552 eV per atom
- Space group: Pm-3m, No. 221
- Crystal system: cubic

a = 4.8600 Å, b = 4.8600 Å, c = 4.8600 Å
α = 90.00°, β = 90.00°, γ = 90.00°
With the nearest neighbours (Å) after each atom.
Fractional positions:
Hf1 0.5000 0.0000 0.0000  2 Se 2.43
Hf2 0.0000 0.5000 0.0000  2 Se 2.43
Hf3 0.0000 0.0000 0.5000  2 Se 2.43
Pd1 0.5000 0.5000 0.5000  12 Hf 3.44
Se1 0.0000 0.0000 0.0000  6 Hf 2.43

=====

# DyHo2AgC

A relaxed structure of DyHo2AgC (PBE, Alexandria).

Calculated values
- Energy of formation from the pure elements: -0.2147 eV per atom
- Calculated total energy: -5.381 eV per atom
- Space group: P4mm, No. 99
- Crystal system: tetragonal

a = 4.8512 Å, b = 4.8510 Å, c = 4.9285 Å
α = 90.00°, β = 90.00°, γ = 90.00°
With the nearest neighbours (Å) after each atom.
Fractional positions:
Dy1 0.0000 0.0000 0.4985  2 C 2.45-2.48
Ho1 0.5000 0.0000 0.9988  2 C 2.43
Ho2 0.0000 0.5000 0.9988  2 C 2.43
Ag1 0.5000 0.5000 0.5017  4 Dy 3.43, 8 Ho 3.45-3.47
C1 0.0000 0.0000 0.0023  4 Ho 2.43, 2 Dy 2.45-2.48

=====

# Li2PmGa4Pt

A relaxed structure of Li2PmGa4Pt (PBE, Alexandria).

Calculated values
- Energy of formation from the pure elements: -0.5395 eV per atom
- Calculated total energy: -3.880 eV per atom
- Space group: R-3m, No. 166
- Crystal system: trigonal

a = 4.2997 Å, b = 4.2997 Å, c = 9.2453 Å
α = 76.55°, β = 76.55°, γ = 60.00°
With the nearest neighbours (Å) after each atom.
Fractional positions:
Li1 0.7701 0.7701 0.6898  7 Ga 2.55-2.78
Li2 0.2299 0.2299 0.3102  7 Ga 2.55-2.78
Pm1 0.0000 0.0000 0.0000  8 Ga 3.08-3.36
Ga1 0.5983 0.5983 0.2051  1 Pt 2.63, 3 Li 2.65, 3 Ga 2.92
Ga2 0.1258 0.1258 0.6226  4 Li 2.55-2.78, 3 Pt 2.71
Ga3 0.8742 0.8742 0.3774  4 Li 2.55-2.78, 3 Pt 2.71
Ga4 0.4017 0.4017 0.7949  1 Pt 2.63, 3 Li 2.65, 3 Ga 2.92
Pt1 0.5000 0.5000 0.5000  8 Ga 2.63-2.71

=====

# BaCr2Re

A relaxed structure of BaCr2Re (PBE, Alexandria).

Calculated values
- ΔE to the lowest computed polymorph: 0.476 eV per atom
- Energy of formation from the pure elements: 1.1666 eV per atom
- Calculated total energy: -7.238 eV per atom
- Space group: I4_1/amd, No. 141
- Crystal system: tetragonal

a = 5.4165 Å, b = 5.4165 Å, c = 8.7332 Å
α = 71.93°, β = 71.93°, γ = 90.00°
With the nearest neighbours (Å) after each atom.
Fractional positions:
Ba1 0.2500 0.7500 0.5000  8 Cr 3.61, 4 Re 3.83
Ba2 0.5000 0.5000 0.0000  8 Cr 3.61, 4 Re 3.83
Cr1 0.8750 0.6250 0.2500  2 Re 2.38
Cr2 0.3750 0.1250 0.7500  2 Re 2.38
Cr3 0.8750 0.1250 0.7500  2 Re 2.38
Cr4 0.8750 0.1250 0.2500  2 Re 2.38
Re1 0.7500 0.2500 0.5000  4 Cr 2.38
Re2 0.0000 0.0000 0.0000  4 Cr 2.38

=====

# CsZnPb3

A relaxed structure of CsZnPb3 (PBE, Alexandria).

Calculated values
- ΔE to the lowest computed polymorph: 1.388 eV per atom
- Energy of formation from the pure elements: 1.3264 eV per atom
- Calculated total energy: -1.324 eV per atom
- Space group: Pm-3m, No. 221
- Crystal system: cubic

a = 6.5327 Å, b = 6.5327 Å, c = 6.5327 Å
α = 90.00°, β = 90.00°, γ = 90.00°
With the nearest neighbours (Å) after each atom.
Fractional positions:
Pb1 0.0000 0.0000 0.5000  2 Cs 3.27
Pb2 0.0000 0.5000 0.0000  2 Cs 3.27
Pb3 0.5000 0.0000 0.0000  2 Cs 3.27
Cs1 0.0000 0.0000 0.0000  6 Pb 3.27
Zn1 0.5000 0.5000 0.5000  12 Pb 4.62

=====

# SnSbHI2

A relaxed structure of SnSbHI2 (PBE, Alexandria).

Calculated values
- ΔE to the lowest computed polymorph: 0.330 eV per atom
- Calculated total energy: -2.304 eV per atom
- Space group: P4/mmm, No. 123
- Crystal system: tetragonal

a = 6.1442 Å, b = 6.1442 Å, c = 5.9335 Å
α = 90.00°, β = 90.00°, γ = 90.00°
With the nearest neighbours (Å) after each atom.
Fractional positions:
I1 0.5000 0.0000 0.0000  2 Sn 3.07
I2 0.0000 0.5000 0.0000  2 Sn 3.07
H1 0.5000 0.5000 0.5000  8 I 4.27, 4 Sb 4.34
Sb1 0.0000 0.0000 0.5000  2 Sn 2.97
Sn1 0.0000 0.0000 0.0000  2 Sb 2.97, 4 I 3.07

=====

# BaMn2

A relaxed structure of BaMn2 (PBE, Alexandria).

Calculated values
- Energy of formation from the pure elements: 0.7725 eV per atom
- Calculated total energy: -5.981 eV per atom
- Space group: Fd-3m, No. 227
- Crystal system: cubic

a = 5.8874 Å, b = 5.8874 Å, c = 5.8874 Å
α = 60.00°, β = 60.00°, γ = 60.00°
With the nearest neighbours (Å) after each atom.
Fractional positions:
Mn1 0.1250 0.1250 0.1250  6 Mn 2.94
Mn2 0.6250 0.1250 0.1250  6 Mn 2.94
Mn3 0.1250 0.6250 0.1250  6 Mn 2.94
Mn4 0.1250 0.1250 0.6250  6 Mn 2.94
Ba1 0.7500 0.7500 0.7500  12 Mn 3.45, 4 Ba 3.61
Ba2 0.5000 0.5000 0.5000  12 Mn 3.45, 4 Ba 3.61